[1]
Here is a geometry-optimized Y4Hf2Sn3C3 structure from OQMD. Energies are from GGA-PBE.

## Properties
Space group = C2/c, No. 15
V = 20.597 Å³/atom
Final energy = -186.7 eV for the cell shown

a = 6.134 Å, b = 6.134 Å, c = 15.567 Å
α = 101.53°, β = 101.53°, γ = 60.16°
Positions (direct):
Y  0.963  0.809  0.909
Y  0.191  0.037  0.591
Y  0.303  0.129  0.909
Y  0.809  0.963  0.409
Y  0.129  0.303  0.409
Y  0.037  0.191  0.091
Y  0.697  0.871  0.091
Y  0.871  0.697  0.591
C  0.500  0.000  0.500
C  0.804  0.348  0.500
C  0.196  0.652  0.500
C  0.348  0.804  0.000
C  0.652  0.196  0.000
C  0.000  0.500  0.000
Sn  0.711  0.582  0.248
Sn  0.418  0.289  0.252
Sn  0.126  0.874  0.250
Sn  0.874  0.126  0.750
Sn  0.582  0.711  0.748
Sn  0.289  0.418  0.752
Hf  0.475  0.647  0.425
Hf  0.353  0.525  0.075
Hf  0.525  0.353  0.575
Hf  0.647  0.475  0.925

***

[2]
Here is a geometry-optimized Hf4ZnSnC2 structure from OQMD. Energies are from GGA-PBE.

## Properties
Space group = P-6m2, No. 187
V = 17.019 Å³/atom
Final energy = -68.9 eV for the cell shown

a = 3.307 Å, b = 3.307 Å, c = 14.372 Å
α = 90.00°, β = 90.00°, γ = 120.00°
Positions (direct):
Zn  0.000  0.000  0.500
C  0.333  0.667  0.254
C  0.333  0.667  0.746
Hf  0.000  0.000  0.168
Hf  0.667  0.333  0.340
Hf  0.667  0.333  0.660
Hf  0.000  0.000  0.832
Sn  0.667  0.333  0.000

***

[3]
Here is a geometry-optimized HfZr3Sn2C2 structure from OQMD. Energies are from GGA-PBE.

## Properties
Space group = P3m1, No. 156
V = 18.042 Å³/atom
Final energy = -68.3 eV for the cell shown

a = 3.365 Å, b = 3.365 Å, c = 14.715 Å
α = 90.00°, β = 90.00°, γ = 120.00°
Positions (direct):
Zr  0.000  0.000  0.586
Zr  0.667  0.333  0.414
Zr  0.667  0.333  0.085
Hf  0.000  0.000  0.917
C  0.333  0.667  0.997
C  0.333  0.667  0.500
Sn  0.667  0.333  0.751
Sn  0.000  0.000  0.250

***

[4]
Here is a geometry-optimized Hf4Zr2Sn3C3 structure from OQMD. Energies are from GGA-PBE.

## Properties
Space group = C2/c, No. 15
V = 17.732 Å³/atom
Final energy = -211.8 eV for the cell shown

a = 5.806 Å, b = 5.806 Å, c = 14.961 Å
α = 101.21°, β = 101.21°, γ = 60.00°
Positions (direct):
Zr  0.529  0.364  0.087
Zr  0.636  0.471  0.413
Zr  0.471  0.636  0.913
Zr  0.364  0.529  0.587
Hf  0.140  0.305  0.916
Hf  0.027  0.196  0.584
Hf  0.695  0.860  0.584
Hf  0.973  0.804  0.416
Hf  0.196  0.027  0.084
Hf  0.305  0.140  0.416
Hf  0.860  0.695  0.084
Hf  0.804  0.973  0.916
Sn  0.584  0.756  0.250
Sn  0.923  0.077  0.250
Sn  0.244  0.416  0.250
Sn  0.756  0.584  0.750
Sn  0.077  0.923  0.750
Sn  0.416  0.244  0.750
C  0.331  0.839  0.500
C  0.669  0.161  0.500
C  0.500  0.000  0.000
C  0.000  0.500  0.500
C  0.839  0.331  0.000
C  0.161  0.669  0.000